Below is crystalline KSeI at its relaxed geometry, with properties calculated at the PBE-GGA level.

abc: 4.4570 5.6465 18.9396
angles: 90.00 90.00 90.00
Closest atoms and distances in Å follow each position.
Fractional positions:
K1 0.0000 0.0000 0.0000  6 I 3.65-3.67
K2 0.0000 0.0000 0.3107  4 Se 3.60, 4 I 3.71
K3 0.0000 0.5000 0.5000  6 I 3.65-3.67
K4 0.0000 0.5000 0.8107  4 Se 3.60, 4 I 3.71
Se1 0.5000 0.0000 0.6840  1 Se 2.32
Se2 0.5000 0.0000 0.8064  1 Se 2.32
Se3 0.5000 0.5000 0.1840  1 Se 2.32
Se4 0.5000 0.5000 0.3064  1 Se 2.32
I1 0.5000 0.0000 0.1542  2 Se 2.88
I2 0.5000 0.0000 0.4674  6 K 3.65-3.71
I3 0.5000 0.5000 0.6542  2 Se 2.88
I4 0.5000 0.5000 0.9674  6 K 3.65-3.71

Calculated values
total energy = -2.862 eV/atom
calculated volume = 119.2 Å³/f.u.
distance to the lowest polymorph of the same formula = 6 meV/atom
E_form (uncorrected) = -0.818 eV/atom

=====

Below is crystalline K12Se5I3 at its relaxed geometry, with properties calculated at the PBE-GGA level.

abc: 17.2586 17.2586 17.2586
angles: 109.47 109.47 109.47
Closest atoms and distances in Å follow each position.
Fractional positions:
K1 0.0306 0.2057 0.1164  2 Se 3.06-3.20
K2 0.0306 0.3248 0.9141  2 Se 3.06-3.20
K3 0.0859 0.6164 0.4107  2 Se 3.06-3.20
K4 0.0859 0.9694 0.6752  2 Se 3.06-3.20
K5 0.0893 0.7057 0.6752  2 Se 3.06-3.20
K6 0.0893 0.8836 0.4141  2 Se 3.06-3.20
K7 0.1164 0.0306 0.2057  2 Se 3.06-3.20
K8 0.1164 0.5859 0.9107  2 Se 3.06-3.20
K9 0.1752 0.2057 0.5893  2 Se 3.06-3.20
K10 0.1752 0.4694 0.5859  2 Se 3.06-3.20
K11 0.2057 0.1164 0.0306  2 Se 3.06-3.20
K12 0.2057 0.5893 0.1752  2 Se 3.06-3.20
K13 0.2943 0.3248 0.9107  2 Se 3.06-3.20
K14 0.2943 0.4694 0.3836  2 Se 3.06-3.20
K15 0.3248 0.9107 0.2943  2 Se 3.06-3.20
K16 0.3248 0.9141 0.0306  2 Se 3.06-3.20
K17 0.3836 0.2943 0.4694  2 Se 3.06-3.20
K18 0.3836 0.5893 0.9141  2 Se 3.06-3.20
K19 0.4107 0.0859 0.6164  2 Se 3.06-3.20
K20 0.4107 0.8248 0.7943  2 Se 3.06-3.20
K21 0.4141 0.0893 0.8836  2 Se 3.06-3.20
K22 0.4141 0.8248 0.5306  2 Se 3.06-3.20
K23 0.4694 0.3836 0.2943  2 Se 3.06-3.20
K24 0.4694 0.5859 0.1752  2 Se 3.06-3.20
K25 0.5306 0.4141 0.8248  2 Se 3.06-3.20
K26 0.5306 0.6164 0.7057  2 Se 3.06-3.20
K27 0.5859 0.1752 0.4694  2 Se 3.06-3.20
K28 0.5859 0.9107 0.1164  2 Se 3.06-3.20
K29 0.5893 0.1752 0.2057  2 Se 3.06-3.20
K30 0.5893 0.9141 0.3836  2 Se 3.06-3.20
K31 0.6164 0.4107 0.0859  2 Se 3.06-3.20
K32 0.6164 0.7057 0.5306  2 Se 3.06-3.20
K33 0.6752 0.0859 0.9694  2 Se 3.06-3.20
K34 0.6752 0.0893 0.7057  2 Se 3.06-3.20
K35 0.7057 0.5306 0.6164  2 Se 3.06-3.20
K36 0.7057 0.6752 0.0893  2 Se 3.06-3.20
K37 0.7943 0.4107 0.8248  2 Se 3.06-3.20
K38 0.7943 0.8836 0.9694  2 Se 3.06-3.20
K39 0.8248 0.5306 0.4141  2 Se 3.06-3.20
K40 0.8248 0.7943 0.4107  2 Se 3.06-3.20
K41 0.8836 0.4141 0.0893  2 Se 3.06-3.20
K42 0.8836 0.9694 0.7943  2 Se 3.06-3.20
K43 0.9107 0.1164 0.5859  2 Se 3.06-3.20
K44 0.9107 0.2943 0.3248  2 Se 3.06-3.20
K45 0.9141 0.0306 0.3248  2 Se 3.06-3.20
K46 0.9141 0.3836 0.5893  2 Se 3.06-3.20
K47 0.9694 0.6752 0.0859  2 Se 3.06-3.20
K48 0.9694 0.7943 0.8836  2 Se 3.06-3.20
Se1 0.0000 0.0000 0.0000  6 K 3.20
Se2 0.0000 0.0000 0.5000  6 K 3.20
Se3 0.0000 0.5000 0.0000  6 K 3.20
Se4 0.0000 0.5000 0.5000  6 K 3.20
Se5 0.1250 0.7500 0.8750  4 K 3.06
Se6 0.1250 0.8750 0.2500  4 K 3.06
Se7 0.2500 0.1250 0.8750  4 K 3.06
Se8 0.2500 0.6250 0.3750  4 K 3.06
Se9 0.3750 0.2500 0.6250  4 K 3.06
Se10 0.3750 0.6250 0.7500  4 K 3.06
Se11 0.5000 0.0000 0.0000  6 K 3.20
Se12 0.5000 0.0000 0.5000  6 K 3.20
Se13 0.5000 0.5000 0.0000  6 K 3.20
Se14 0.5000 0.5000 0.5000  6 K 3.20
Se15 0.6250 0.3750 0.2500  4 K 3.06
Se16 0.6250 0.7500 0.3750  4 K 3.06
Se17 0.7500 0.3750 0.6250  4 K 3.06
Se18 0.7500 0.8750 0.1250  4 K 3.06
Se19 0.8750 0.1250 0.7500  4 K 3.06
Se20 0.8750 0.2500 0.1250  4 K 3.06
I1 0.1250 0.2500 0.3750  8 K 3.85-3.90
I2 0.1250 0.3750 0.7500  8 K 3.85-3.90
I3 0.2500 0.3750 0.1250  8 K 3.85-3.90
I4 0.2500 0.8750 0.6250  8 K 3.85-3.90
I5 0.3750 0.1250 0.2500  8 K 3.85-3.90
I6 0.3750 0.7500 0.1250  8 K 3.85-3.90
I7 0.6250 0.2500 0.8750  8 K 3.85-3.90
I8 0.6250 0.8750 0.7500  8 K 3.85-3.90
I9 0.7500 0.1250 0.3750  8 K 3.85-3.90
I10 0.7500 0.6250 0.8750  8 K 3.85-3.90
I11 0.8750 0.6250 0.2500  8 K 3.85-3.90
I12 0.8750 0.7500 0.6250  8 K 3.85-3.90

Calculated values
total energy = -2.806 eV/atom
calculated volume = 989.3 Å³/f.u.
E_form (uncorrected) = -1.044 eV/atom

=====

> total energy of number 2 (K12Se5I3)?

-2.806 eV/atom

=====

> Look up the E_form (uncorrected) of the first one.

-0.818 eV/atom

=====

> Which of these has the lowest calculated volume?

KSeI

=====

> Which of these has the lowest total energy?

KSeI